(A)
Material: BePBr
Method: DFT, PBEsol
State: relaxed

Structure (POSCAR):
```
BePBr
1.0
-1.970 0.033 -2.586
-1.224 -2.876 0.896
-1.991 3.810 3.609
P Br Be
1 1 1
Direct
0.432 0.432 0.864 P
0.672 0.672 0.344 Br
0.896 0.896 0.792 Be
```

Its space group is I4mm, No. 107.

(B)
Material: BePBr
Method: DFT, PBEsol
State: relaxed

Structure (POSCAR):
```
BePBr
1.0
3.108 0.000 0.000
-1.554 2.691 0.000
0.000 0.000 6.518
P Br Be
1 1 1
Direct
0.667 0.333 0.245 P
0.333 0.667 0.772 Br
0.000 0.000 0.983 Be
```

Its space group is P3m1, No. 156.

Most stable: (B)